DFT (PBE) results for a relaxed structure of BiHO3.

The value obtained for the calculated total energy is -20.30 eV per cell.

```
BiHO3
1.0
4.1680 0.0000 0.0000
0.0000 4.1680 0.0000
0.0000 0.0000 4.1680
Bi H O
1 1 3
Cartesian
0.0000 0.0000 0.0000
2.0840 2.0840 2.0840
0.0000 0.0000 2.0840
0.0000 2.0840 0.0000
2.0840 0.0000 0.0000
```